# AcSmAg4 (PBE-GGA, optimized geometry)
data_AcSmAg4
_chemical_formula_sum 'Ac1 Sm1 Ag4'
_symmetry_space_group_name_H-M 'P 1'
_symmetry_Int_Tables_number 1
_symmetry_space_group_name_Hall 'P 1'
_cell_length_a 3.774
_cell_length_b 4.875
_cell_length_c 8.293
_cell_angle_alpha 90.00
_cell_angle_beta 90.00
_cell_angle_gamma 90.00
loop_
_atom_site_label
_atom_site_fract_x
_atom_site_fract_y
_atom_site_fract_z
Ag1 0.499 0.997 0.835
Ac1 0.999 0.997 0.498
Ag2 0.499 0.497 0.672
Ag3 0.499 0.497 0.325
Sm1 0.999 0.497 0.998
Ag4 0.499 0.997 0.161
# - Uncorrected energy: -0.13362 hartree per atom
# - Energy relative to the lowest polymorph listed for this composition: 0.475 kcal/mol of atoms
# - Space-group type: Pmmm, No. 47